1.
This record from the Alexandria database describes an optimized crystal structure of Tb4Pm5Sn2. The functional is PBE.

Cell: 15.859 15.859 15.859 Å, 19.19 19.19 19.19°
Atoms (fractional coordinates):
1 Tb 0.072 0.072 0.072
2 Tb 0.227 0.227 0.227
3 Tb 0.773 0.773 0.773
4 Tb 0.928 0.928 0.928
5 Pm 0.000 0.000 0.000
6 Pm 0.147 0.147 0.147
7 Pm 0.304 0.304 0.304
8 Pm 0.696 0.696 0.696
9 Pm 0.853 0.853 0.853
10 Sn 0.382 0.382 0.382
11 Sn 0.618 0.618 0.618

Values from the calculation:
Space-group type   R-3m, No. 166
Crystal system   trigonal
D(E_F)   16.4 states/eV/f.u.



2.
This record from the Alexandria database describes an optimized crystal structure of TbPm2Sn6. The functional is PBE.

Cell: 9.480 9.480 4.488 Å, 103.67 103.67 42.80°
Atoms (fractional coordinates):
1 Tb 0.000 0.000 0.000
2 Pm 0.326 0.326 0.827
3 Pm 0.556 0.556 0.057
4 Sn 0.212 0.657 0.435
5 Sn 0.344 0.920 0.633
6 Sn 0.538 0.961 0.250
7 Sn 0.657 0.212 0.435
8 Sn 0.920 0.344 0.633
9 Sn 0.961 0.538 0.250

Values from the calculation:
Space-group type   Cm, No. 8
Crystal system   monoclinic
D(E_F)   5.4 states/eV/f.u.



3.
This record from the Alexandria database describes an optimized crystal structure of TbPm2Sn2. The functional is PBE.

Cell: 9.585 9.585 6.562 Å, 90.00 90.00 149.41°
Atoms (fractional coordinates):
1 Tb 0.103 0.897 0.500
2 Tb 0.897 0.103 0.000
3 Pm 0.308 0.692 0.502
4 Pm 0.500 0.500 0.251
5 Pm 0.500 0.500 0.751
6 Pm 0.692 0.308 0.002
7 Sn 0.076 0.924 0.001
8 Sn 0.309 0.691 0.003
9 Sn 0.691 0.309 0.503
10 Sn 0.924 0.076 0.501

Values from the calculation:
Space-group type   Cmc2_1, No. 36
Crystal system   orthorhombic
D(E_F)   3.7 states/eV/f.u.



4.
This record from the Alexandria database describes an optimized crystal structure of Tb2Pm5Sn4. The functional is PBE.

Cell: 11.073 11.073 7.853 Å, 105.49 105.49 23.18°
Atoms (fractional coordinates):
1 Tb 0.072 0.072 0.097
2 Tb 0.928 0.928 0.903
3 Pm 0.000 0.000 0.500
4 Pm 0.328 0.328 0.064
5 Pm 0.349 0.349 0.551
6 Pm 0.651 0.651 0.449
7 Pm 0.672 0.672 0.936
8 Sn 0.216 0.216 0.248
9 Sn 0.482 0.482 0.208
10 Sn 0.518 0.518 0.792
11 Sn 0.784 0.784 0.752

Values from the calculation:
Space-group type   C2/m, No. 12
Crystal system   monoclinic
D(E_F)   12.9 states/eV/f.u.



5.
This record from the Alexandria database describes an optimized crystal structure of Tb2PmSn. The functional is PBE.

Cell: 7.713 7.713 7.713 Å, 90.00 90.00 90.00°
Atoms (fractional coordinates):
1 Tb 0.250 0.250 0.250
2 Tb 0.250 0.250 0.750
3 Tb 0.250 0.750 0.250
4 Tb 0.250 0.750 0.750
5 Tb 0.750 0.250 0.250
6 Tb 0.750 0.250 0.750
7 Tb 0.750 0.750 0.250
8 Tb 0.750 0.750 0.750
9 Pm 0.000 0.000 0.000
10 Pm 0.000 0.500 0.500
11 Pm 0.500 0.000 0.500
12 Pm 0.500 0.500 0.000
13 Sn 0.000 0.000 0.500
14 Sn 0.000 0.500 0.000
15 Sn 0.500 0.000 0.000
16 Sn 0.500 0.500 0.500

Values from the calculation:
Space-group type   Fm-3m, No. 225
Crystal system   cubic
D(E_F)   8.1 states/eV/f.u.



6.
This record from the Alexandria database describes an optimized crystal structure of Tb2PmSn. The functional is PBE.

Cell: 5.509 12.890 6.873 Å, 90.00 90.00 90.00°
Atoms (fractional coordinates):
1 Tb 0.000 0.133 0.019
2 Tb 0.000 0.133 0.481
3 Tb 0.000 0.867 0.519
4 Tb 0.000 0.867 0.981
5 Tb 0.500 0.367 0.519
6 Tb 0.500 0.367 0.981
7 Tb 0.500 0.633 0.019
8 Tb 0.500 0.633 0.481
9 Pm 0.000 0.430 0.250
10 Pm 0.000 0.570 0.750
11 Pm 0.500 0.070 0.750
12 Pm 0.500 0.930 0.250
13 Sn 0.000 0.327 0.750
14 Sn 0.000 0.673 0.250
15 Sn 0.500 0.173 0.250
16 Sn 0.500 0.827 0.750

Values from the calculation:
Space-group type   Cmcm, No. 63
Crystal system   orthorhombic
D(E_F)   4.6 states/eV/f.u.



7.
This record from the Alexandria database describes an optimized crystal structure of Tb3Pm4Sn4. The functional is PBE.

Cell: 10.835 10.835 10.835 Å, 161.03 127.11 56.70°
Atoms (fractional coordinates):
1 Tb 0.000 0.000 0.000
2 Tb 0.409 0.909 0.500
3 Tb 0.591 0.091 0.500
4 Pm 0.014 0.336 0.677
5 Pm 0.341 0.664 0.677
6 Pm 0.659 0.336 0.323
7 Pm 0.986 0.664 0.323
8 Sn 0.275 0.275 0.000
9 Sn 0.278 0.500 0.778
10 Sn 0.722 0.500 0.222
11 Sn 0.725 0.725 0.000

Values from the calculation:
Space-group type   Immm, No. 71
Crystal system   orthorhombic
D(E_F)   9.3 states/eV/f.u.



8.
This record from the Alexandria database describes an optimized crystal structure of Tb6PmSn4. The functional is PBE.

Cell: 8.116 8.116 8.116 Å, 121.73 121.73 87.02°
Atoms (fractional coordinates):
1 Tb 0.000 0.500 0.500
2 Tb 0.011 0.011 0.675
3 Tb 0.337 0.337 0.325
4 Tb 0.500 0.000 0.500
5 Tb 0.663 0.989 0.000
6 Tb 0.989 0.663 0.000
7 Pm 0.500 0.500 0.000
8 Sn 0.125 0.125 0.436
9 Sn 0.311 0.875 0.000
10 Sn 0.689 0.689 0.564
11 Sn 0.875 0.311 0.000

Values from the calculation:
Space-group type   I-42m, No. 121
Crystal system   tetragonal
D(E_F)   12.8 states/eV/f.u.



Number 1: energy of formation from the pure elements 0.103 eV per atom. Number 2: energy of formation from the pure elements -0.480 eV per atom. Number 3: energy of formation from the pure elements -0.635 eV per atom. Number 4: energy of formation from the pure elements -0.422 eV per atom. Number 5: energy of formation from the pure elements -0.227 eV per atom. Number 6: energy of formation from the pure elements -0.304 eV per atom. Number 7: energy of formation from the pure elements -0.557 eV per atom. Number 8: energy of formation from the pure elements -0.350 eV per atom.